Computed, not measured: crystalline SbTe2CS at its relaxed geometry at the PBEsol level of DFT.

Output
formation energy (no corrections) = 1.871 eV per atom
DFT total energy = -16.28 eV for the cell shown
D(E_F) = 1.3168 states/eV per atom

```
data_SbTe2CS
_chemical_formula_sum 'Sb1 Te2 C1 S1'
_space_group_name_H-M_alt 'P 4/m m m'
_space_group_IT_number 123
_space_group_name_Hall '-P 4 2'
_cell_length_a 5.184
_cell_length_b 5.184
_cell_length_c 5.057
_cell_angle_alpha 90.00
_cell_angle_beta 90.00
_cell_angle_gamma 90.00
loop_
_atom_site_label
_atom_site_type_symbol
_atom_site_fract_x
_atom_site_fract_y
_atom_site_fract_z
Sb1 Sb 0.000 0.000 0.000
Te1 Te 0.000 0.500 0.500
C1 C 0.500 0.500 0.000
S1 S 0.000 0.000 0.500
```



Computed, not measured: crystalline Sc2C2S at its relaxed geometry at the PBEsol level of DFT.

Output
formation energy (no corrections) = -0.218 eV per atom
DFT total energy = -75.94 eV for the cell shown
D(E_F) = 0.1344 states/eV per atom

```
data_Sc2C2S
_chemical_formula_sum 'Sc4 C4 S2'
_space_group_name_H-M_alt 'I 4/m m m'
_space_group_IT_number 139
_space_group_name_Hall '-I 4 2'
_cell_length_a 3.204
_cell_length_b 3.204
_cell_length_c 12.731
_cell_angle_alpha 90.00
_cell_angle_beta 90.00
_cell_angle_gamma 90.00
loop_
_atom_site_label
_atom_site_type_symbol
_atom_site_fract_x
_atom_site_fract_y
_atom_site_fract_z
Sc1 Sc 0.000 0.000 0.128
C1 C 0.000 0.500 0.250
S1 S 0.000 0.000 0.500
```



Computed, not measured: crystalline ScC2S at its relaxed geometry at the PBEsol level of DFT.

Output
formation energy (no corrections) = 0.576 eV per atom
DFT total energy = -111.89 eV for the cell shown
D(E_F) = 0.3650 states/eV per atom

```
data_ScC2S
_chemical_formula_sum 'Sc4 C8 S4'
_space_group_name_H-M_alt 'I -4 2 d'
_space_group_IT_number 122
_space_group_name_Hall 'I -4 2bw'
_cell_length_a 5.259
_cell_length_b 5.259
_cell_length_c 6.226
_cell_angle_alpha 90.00
_cell_angle_beta 90.00
_cell_angle_gamma 90.00
loop_
_atom_site_label
_atom_site_type_symbol
_atom_site_fract_x
_atom_site_fract_y
_atom_site_fract_z
Sc1 Sc 0.000 0.000 0.000
C1 C 0.159 0.250 0.625
S1 S 0.000 0.000 0.500
```



Computed, not measured: crystalline Sc3CS at its relaxed geometry at the PBEsol level of DFT.

Output
formation energy (no corrections) = -0.647 eV per atom
DFT total energy = -37.08 eV for the cell shown
D(E_F) = 0.8268 states/eV per atom

```
data_Sc3CS
_chemical_formula_sum 'Sc3 C1 S1'
_space_group_name_H-M_alt 'P m -3 m'
_space_group_IT_number 221
_space_group_name_Hall '-P 4 2 3'
_cell_length_a 4.381
_cell_length_b 4.381
_cell_length_c 4.381
_cell_angle_alpha 90.00
_cell_angle_beta 90.00
_cell_angle_gamma 90.00
loop_
_atom_site_label
_atom_site_type_symbol
_atom_site_fract_x
_atom_site_fract_y
_atom_site_fract_z
Sc1 Sc 0.000 0.000 0.500
C1 C 0.000 0.000 0.000
S1 S 0.500 0.500 0.500
```



Computed, not measured: crystalline CSe3S at its relaxed geometry at the PBEsol level of DFT.

Output
formation energy (no corrections) = 1.909 eV per atom
DFT total energy = -16.03 eV for the cell shown
D(E_F) = 0.9524 states/eV per atom

```
data_CSe3S
_chemical_formula_sum 'C1 Se3 S1'
_space_group_name_H-M_alt 'P m -3 m'
_space_group_IT_number 221
_space_group_name_Hall '-P 4 2 3'
_cell_length_a 4.734
_cell_length_b 4.734
_cell_length_c 4.734
_cell_angle_alpha 90.00
_cell_angle_beta 90.00
_cell_angle_gamma 90.00
loop_
_atom_site_label
_atom_site_type_symbol
_atom_site_fract_x
_atom_site_fract_y
_atom_site_fract_z
C1 C 0.000 0.000 0.000
Se1 Se 0.000 0.500 0.500
S1 S 0.500 0.500 0.500
```



Computed, not measured: crystalline CSe2S at its relaxed geometry at the PBEsol level of DFT.

Output
formation energy (no corrections) = 1.707 eV per atom
DFT total energy = -59.60 eV for the cell shown
D(E_F) = 0.7311 states/eV per atom

```
data_CSe2S
_chemical_formula_sum 'C4 Se8 S4'
_space_group_name_H-M_alt 'F m -3 m'
_space_group_IT_number 225
_space_group_name_Hall '-F 4 2 3'
_cell_length_a 6.177
_cell_length_b 6.177
_cell_length_c 6.177
_cell_angle_alpha 90.00
_cell_angle_beta 90.00
_cell_angle_gamma 90.00
loop_
_atom_site_label
_atom_site_type_symbol
_atom_site_fract_x
_atom_site_fract_y
_atom_site_fract_z
C1 C 0.000 0.000 0.000
Se1 Se 0.250 0.250 0.250
S1 S 0.000 0.000 0.500
```



Computed, not measured: crystalline SiC3S at its relaxed geometry at the PBEsol level of DFT.

Output
formation energy (no corrections) = 2.242 eV per atom
DFT total energy = -27.85 eV for the cell shown
D(E_F) = 0.6324 states/eV per atom

```
data_SiC3S
_chemical_formula_sum 'Si1 C3 S1'
_space_group_name_H-M_alt 'P m -3 m'
_space_group_IT_number 221
_space_group_name_Hall '-P 4 2 3'
_cell_length_a 3.768
_cell_length_b 3.768
_cell_length_c 3.768
_cell_angle_alpha 90.00
_cell_angle_beta 90.00
_cell_angle_gamma 90.00
loop_
_atom_site_label
_atom_site_type_symbol
_atom_site_fract_x
_atom_site_fract_y
_atom_site_fract_z
Si1 Si 0.000 0.000 0.000
C1 C 0.000 0.000 0.500
S1 S 0.500 0.500 0.500
```



Computed, not measured: crystalline SnCS2 at its relaxed geometry at the PBEsol level of DFT.

Output
formation energy (no corrections) = 0.807 eV per atom
energy above the lowest structure with this stoichiometry = 0.334 eV/atom
DFT total energy = -77.78 eV for the cell shown
D(E_F) = 0.2868 states/eV per atom

```
data_SnCS2
_chemical_formula_sum 'Sn4 C4 S8'
_space_group_name_H-M_alt 'I -4 2 d'
_space_group_IT_number 122
_space_group_name_Hall 'I -4 2bw'
_cell_length_a 5.814
_cell_length_b 5.814
_cell_length_c 8.727
_cell_angle_alpha 90.00
_cell_angle_beta 90.00
_cell_angle_gamma 90.00
loop_
_atom_site_label
_atom_site_type_symbol
_atom_site_fract_x
_atom_site_fract_y
_atom_site_fract_z
Sn1 Sn 0.000 0.000 0.000
C1 C 0.000 0.000 0.500
S1 S 0.107 0.250 0.625
```



Computed, not measured: crystalline SnCS2 at its relaxed geometry at the PBEsol level of DFT.

Output
formation energy (no corrections) = 0.473 eV per atom
energy above the lowest structure with this stoichiometry = 0.000 eV/atom
DFT total energy = -62.34 eV for the cell shown
D(E_F) = 0.4096 states/eV per atom

```
data_SnCS2
_chemical_formula_sum 'Sn3 C3 S6'
_space_group_name_H-M_alt 'R -3 m'
_space_group_IT_number 166
_space_group_name_Hall '-R 3 2"'
_cell_length_a 3.5196
_cell_length_b 3.5196
_cell_length_c 23.0627
_cell_angle_alpha 90.00
_cell_angle_beta 90.00
_cell_angle_gamma 120.00
loop_
_atom_site_label
_atom_site_type_symbol
_atom_site_fract_x
_atom_site_fract_y
_atom_site_fract_z
Sn1 Sn 0.0000 0.0000 0.0000
C1 C 0.0000 0.0000 0.5000
S1 S 0.0000 0.0000 0.4317
```



Computed, not measured: crystalline TlSn2CS at its relaxed geometry at the PBEsol level of DFT.

Output
formation energy (no corrections) = 0.870 eV per atom
DFT total energy = -20.82 eV for the cell shown
D(E_F) = 0.4731 states/eV per atom

```
data_TlSn2CS
_chemical_formula_sum 'Tl1 Sn2 C1 S1'
_space_group_name_H-M_alt 'P 4/m m m'
_space_group_IT_number 123
_space_group_name_Hall '-P 4 2'
_cell_length_a 5.538
_cell_length_b 5.538
_cell_length_c 3.557
_cell_angle_alpha 90.00
_cell_angle_beta 90.00
_cell_angle_gamma 90.00
loop_
_atom_site_label
_atom_site_type_symbol
_atom_site_fract_x
_atom_site_fract_y
_atom_site_fract_z
Tl1 Tl 0.000 0.000 0.000
Sn1 Sn 0.000 0.500 0.500
C1 C 0.500 0.500 0.000
S1 S 0.500 0.500 0.500
```



Computed, not measured: crystalline Sr2ZrCS at its relaxed geometry at the PBEsol level of DFT.

Output
formation energy (no corrections) = 0.637 eV per atom
energy above the lowest structure with this stoichiometry = 0.000 eV/atom
DFT total energy = -23.61 eV for the cell shown
D(E_F) = 0.9077 states/eV per atom

```
data_Sr2ZrCS
_chemical_formula_sum 'Sr2 Zr1 C1 S1'
_space_group_name_H-M_alt 'P 4/m m m'
_space_group_IT_number 123
_space_group_name_Hall '-P 4 2'
_cell_length_a 5.427
_cell_length_b 5.427
_cell_length_c 4.776
_cell_angle_alpha 90.00
_cell_angle_beta 90.00
_cell_angle_gamma 90.00
loop_
_atom_site_label
_atom_site_type_symbol
_atom_site_fract_x
_atom_site_fract_y
_atom_site_fract_z
Sr1 Sr 0.000 0.500 0.000
Zr1 Zr 0.000 0.000 0.500
C1 C 0.500 0.500 0.500
S1 S 0.000 0.000 0.000
```



Computed, not measured: crystalline Sr2ZrCS at its relaxed geometry at the PBEsol level of DFT.

Output
formation energy (no corrections) = 1.214 eV per atom
energy above the lowest structure with this stoichiometry = 0.576 eV/atom
DFT total energy = -20.73 eV for the cell shown
D(E_F) = 0.9270 states/eV per atom

```
data_Sr2ZrCS
_chemical_formula_sum 'Sr2 Zr1 C1 S1'
_space_group_name_H-M_alt 'P 4/m m m'
_space_group_IT_number 123
_space_group_name_Hall '-P 4 2'
_cell_length_a 6.076
_cell_length_b 6.076
_cell_length_c 4.743
_cell_angle_alpha 90.00
_cell_angle_beta 90.00
_cell_angle_gamma 90.00
loop_
_atom_site_label
_atom_site_type_symbol
_atom_site_fract_x
_atom_site_fract_y
_atom_site_fract_z
Sr1 Sr 0.000 0.500 0.000
Zr1 Zr 0.000 0.000 0.000
C1 C 0.500 0.500 0.500
S1 S 0.000 0.000 0.500
```



Computed, not measured: crystalline Ta3CS at its relaxed geometry at the PBEsol level of DFT.

Output
formation energy (no corrections) = 0.280 eV per atom
DFT total energy = -50.28 eV for the cell shown
D(E_F) = 1.2109 states/eV per atom

```
data_Ta3CS
_chemical_formula_sum 'Ta3 C1 S1'
_space_group_name_H-M_alt 'P m -3 m'
_space_group_IT_number 221
_space_group_name_Hall '-P 4 2 3'
_cell_length_a 4.235
_cell_length_b 4.235
_cell_length_c 4.235
_cell_angle_alpha 90.00
_cell_angle_beta 90.00
_cell_angle_gamma 90.00
loop_
_atom_site_label
_atom_site_type_symbol
_atom_site_fract_x
_atom_site_fract_y
_atom_site_fract_z
Ta1 Ta 0.000 0.000 0.500
C1 C 0.000 0.000 0.000
S1 S 0.500 0.500 0.500
```



Computed, not measured: crystalline Ta6TiC3S6 at its relaxed geometry at the PBEsol level of DFT.

Output
formation energy (no corrections) = -1.056 eV per atom
DFT total energy = -311.52 eV for the cell shown
D(E_F) = 0.4293 states/eV per atom

```
data_Ta6TiC3S6
_chemical_formula_sum 'Ta12 Ti2 C6 S12'
_space_group_name_H-M_alt 'C 1 2/m 1'
_space_group_IT_number 12
_cell_length_a 5.675
_cell_length_b 9.828
_cell_length_c 8.784
_cell_angle_alpha 90.00
_cell_angle_beta 102.43
_cell_angle_gamma 90.00
loop_
_space_group_symop_operation_xyz
'x,y,z'
'-x,-y,-z'
'-x,y,-z'
'x,-y,z'
'x+1/2,y+1/2,z'
'-x+1/2,-y+1/2,-z'
'-x+1/2,y+1/2,-z'
'x+1/2,-y+1/2,z'
loop_
_atom_site_label
_atom_site_type_symbol
_atom_site_fract_x
_atom_site_fract_y
_atom_site_fract_z
Ta1 Ta 0.123 0.000 0.368
Ta2 Ta 0.123 0.334 0.367
Ti1 Ti 0.000 0.000 0.000
C1 C 0.000 0.167 0.500
C2 C 0.000 0.500 0.500
S1 S 0.221 0.500 0.173
S2 S 0.226 0.168 0.173
```



Computed, not measured: crystalline TcWC2S at its relaxed geometry at the PBEsol level of DFT.

Output
formation energy (no corrections) = 1.752 eV per atom
DFT total energy = -39.98 eV for the cell shown
D(E_F) = 0.7043 states/eV per atom

```
data_TcWC2S
_chemical_formula_sum 'Tc1 W1 C2 S1'
_space_group_name_H-M_alt 'P 4/m m m'
_space_group_IT_number 123
_space_group_name_Hall '-P 4 2'
_cell_length_a 3.964
_cell_length_b 3.964
_cell_length_c 4.808
_cell_angle_alpha 90.00
_cell_angle_beta 90.00
_cell_angle_gamma 90.00
loop_
_atom_site_label
_atom_site_type_symbol
_atom_site_fract_x
_atom_site_fract_y
_atom_site_fract_z
Tc1 Tc 0.000 0.000 0.000
W1 W 0.500 0.500 0.500
C1 C 0.000 0.500 0.500
S1 S 0.500 0.500 0.000
```



Computed, not measured: crystalline TeC3S at its relaxed geometry at the PBEsol level of DFT.

Output
formation energy (no corrections) = 3.223 eV per atom
DFT total energy = -20.72 eV for the cell shown
D(E_F) = 0.8795 states/eV per atom

```
data_TeC3S
_chemical_formula_sum 'Te1 C3 S1'
_space_group_name_H-M_alt 'P m -3 m'
_space_group_IT_number 221
_space_group_name_Hall '-P 4 2 3'
_cell_length_a 4.135
_cell_length_b 4.135
_cell_length_c 4.135
_cell_angle_alpha 90.00
_cell_angle_beta 90.00
_cell_angle_gamma 90.00
loop_
_atom_site_label
_atom_site_type_symbol
_atom_site_fract_x
_atom_site_fract_y
_atom_site_fract_z
Te1 Te 0.000 0.000 0.000
C1 C 0.000 0.000 0.500
S1 S 0.500 0.500 0.500
```



Computed, not measured: crystalline TiC2S at its relaxed geometry at the PBEsol level of DFT.

Output
formation energy (no corrections) = 0.712 eV per atom
DFT total energy = -116.58 eV for the cell shown
D(E_F) = 0.6623 states/eV per atom

```
data_TiC2S
_chemical_formula_sum 'Ti4 C8 S4'
_space_group_name_H-M_alt 'I -4 2 d'
_space_group_IT_number 122
_space_group_name_Hall 'I -4 2bw'
_cell_length_a 4.855
_cell_length_b 4.855
_cell_length_c 7.148
_cell_angle_alpha 90.00
_cell_angle_beta 90.00
_cell_angle_gamma 90.00
loop_
_atom_site_label
_atom_site_type_symbol
_atom_site_fract_x
_atom_site_fract_y
_atom_site_fract_z
Ti1 Ti 0.000 0.000 0.000
C1 C 0.181 0.750 0.625
S1 S 0.000 0.000 0.500
```



Computed, not measured: crystalline Ti3CS at its relaxed geometry at the PBEsol level of DFT.

Output
formation energy (no corrections) = -0.397 eV per atom
DFT total energy = -40.98 eV for the cell shown
D(E_F) = 1.6243 states/eV per atom

```
data_Ti3CS
_chemical_formula_sum 'Ti3 C1 S1'
_space_group_name_H-M_alt 'P m -3 m'
_space_group_IT_number 221
_space_group_name_Hall '-P 4 2 3'
_cell_length_a 4.098
_cell_length_b 4.098
_cell_length_c 4.098
_cell_angle_alpha 90.00
_cell_angle_beta 90.00
_cell_angle_gamma 90.00
loop_
_atom_site_label
_atom_site_type_symbol
_atom_site_fract_x
_atom_site_fract_y
_atom_site_fract_z
Ti1 Ti 0.000 0.000 0.500
C1 C 0.000 0.000 0.000
S1 S 0.500 0.500 0.500
```



Computed, not measured: crystalline Ti2CS at its relaxed geometry at the PBEsol level of DFT.

Output
formation energy (no corrections) = -1.366 eV per atom
DFT total energy = -72.27 eV for the cell shown
D(E_F) = 0.2326 states/eV per atom

```
data_Ti2CS
_chemical_formula_sum 'Ti4 C2 S2'
_space_group_name_H-M_alt 'P 63/m m c'
_space_group_IT_number 194
_space_group_name_Hall '-P 6c 2c'
_cell_length_a 3.1660
_cell_length_b 3.1660
_cell_length_c 11.1603
_cell_angle_alpha 90.00
_cell_angle_beta 90.00
_cell_angle_gamma 120.00
loop_
_atom_site_label
_atom_site_type_symbol
_atom_site_fract_x
_atom_site_fract_y
_atom_site_fract_z
Ti1 Ti 0.3333 0.6667 0.0998
C1 C 0.0000 0.0000 0.0000
S1 S 0.3333 0.6667 0.7500
```



Computed, not measured: crystalline TlCS2 at its relaxed geometry at the PBEsol level of DFT.

Output
formation energy (no corrections) = 1.714 eV per atom
DFT total energy = -56.75 eV for the cell shown
D(E_F) = 0.8003 states/eV per atom

```
data_TlCS2
_chemical_formula_sum 'Tl4 C4 S8'
_space_group_name_H-M_alt 'F m -3 m'
_space_group_IT_number 225
_space_group_name_Hall '-F 4 2 3'
_cell_length_a 6.415
_cell_length_b 6.415
_cell_length_c 6.415
_cell_angle_alpha 90.00
_cell_angle_beta 90.00
_cell_angle_gamma 90.00
loop_
_atom_site_label
_atom_site_type_symbol
_atom_site_fract_x
_atom_site_fract_y
_atom_site_fract_z
Tl1 Tl 0.000 0.000 0.000
C1 C 0.000 0.000 0.500
S1 S 0.250 0.250 0.250
```